Record 1
Entry from OQMD: a geometry-optimized Sr2CdS3 structure (PBE).

a = 8.7959 Å, b = 4.1627 Å, c = 16.7779 Å
α = 90.00°, β = 90.00°, γ = 90.00°
Atoms (fractional coordinates):
Sr1 0.0945 0.2500 0.2196
Sr2 0.2107 0.2500 0.9524
Sr3 0.2893 0.7500 0.4524
Sr4 0.4055 0.7500 0.7196
Sr5 0.5945 0.2500 0.2804
Sr6 0.7107 0.2500 0.5476
Sr7 0.7893 0.7500 0.0476
Sr8 0.9055 0.7500 0.7804
Cd1 0.1031 0.2500 0.6222
Cd2 0.3969 0.7500 0.1222
Cd3 0.6031 0.2500 0.8778
Cd4 0.8969 0.7500 0.3778
S1 0.0561 0.2500 0.4042
S2 0.1263 0.7500 0.0717
S3 0.1651 0.2500 0.7726
S4 0.3349 0.7500 0.2726
S5 0.3737 0.2500 0.5717
S6 0.4439 0.7500 0.9042
S7 0.5561 0.2500 0.0958
S8 0.6263 0.7500 0.4283
S9 0.6651 0.2500 0.7274
S10 0.8349 0.7500 0.2274
S11 0.8737 0.2500 0.9283
S12 0.9439 0.7500 0.5958



Record 2
Entry from OQMD: a geometry-optimized SrZnCdS3 structure (PBE).

Polymorph energy (0 for the lowest one) (eV per formula unit): 0.00

a = 6.8316 Å, b = 6.8316 Å, c = 10.4589 Å
α = 90.00°, β = 90.00°, γ = 146.61°
Atoms (fractional coordinates):
Sr1 0.2455 0.7545 0.7500
Sr2 0.7545 0.2455 0.2500
Zn1 0.4729 0.5271 0.2500
Zn2 0.5271 0.4729 0.7500
Cd1 0.0000 0.0000 0.0000
Cd2 0.0000 0.0000 0.5000
S1 0.0798 0.9202 0.2500
S2 0.3661 0.6339 0.0711
S3 0.3661 0.6339 0.4289
S4 0.6339 0.3661 0.5711
S5 0.6339 0.3661 0.9289
S6 0.9202 0.0798 0.7500



Record 3
Entry from OQMD: a geometry-optimized SrZnCdS3 structure (PBE).

Polymorph energy (0 for the lowest one) (eV per formula unit): 0.88

a = 7.0469 Å, b = 7.0469 Å, c = 10.5983 Å
α = 90.00°, β = 90.00°, γ = 148.18°
Atoms (fractional coordinates):
Sr1 0.2193 0.7807 0.7500
Sr2 0.7807 0.2193 0.2500
Zn1 0.0000 0.0000 0.0000
Zn2 0.0000 0.0000 0.5000
Cd1 0.4957 0.5043 0.7500
Cd2 0.5043 0.4957 0.2500
S1 0.1200 0.8800 0.2500
S2 0.3854 0.6146 0.0645
S3 0.3854 0.6146 0.4355
S4 0.6146 0.3854 0.5645
S5 0.6146 0.3854 0.9355
S6 0.8800 0.1200 0.7500



Record 4
Entry from OQMD: a geometry-optimized TaCdS2 structure (PBE).

Size of the total moment (μB per formula unit): 0.0

a = 3.2953 Å, b = 3.2953 Å, c = 17.5775 Å
α = 90.00°, β = 90.00°, γ = 120.00°
Atoms (fractional coordinates):
Ta1 0.3333 0.6667 0.2500
Ta2 0.6667 0.3333 0.7500
Cd1 0.0000 0.0000 0.0000
Cd2 0.0000 0.0000 0.5000
S1 0.3333 0.6667 0.6601
S2 0.3333 0.6667 0.8399
S3 0.6667 0.3333 0.1601
S4 0.6667 0.3333 0.3399



Record 5
Entry from OQMD: a geometry-optimized Cd2TeS structure (PBE).

Polymorph energy (0 for the lowest one) (eV per formula unit): 0.05

a = 4.4050 Å, b = 4.4050 Å, c = 7.2205 Å
α = 90.00°, β = 90.00°, γ = 120.00°
Atoms (fractional coordinates):
Cd1 0.0000 0.0000 0.0000
Cd2 0.3333 0.6667 0.4477
Te1 0.3333 0.6667 0.8420
S1 0.0000 0.0000 0.3528



Record 6
Entry from OQMD: a geometry-optimized Cd2TeS structure (PBE).

Polymorph energy (0 for the lowest one) (eV per formula unit): 0.00

a = 4.4163 Å, b = 4.4163 Å, c = 6.2295 Å
α = 90.00°, β = 90.00°, γ = 90.00°
Atoms (fractional coordinates):
Cd1 0.0000 0.5000 0.2223
Cd2 0.5000 0.0000 0.7777
Te1 0.0000 0.0000 0.5000
S1 0.5000 0.5000 0.0000



Record 7
Entry from OQMD: a geometry-optimized TlCdS structure (PBE).

a = 11.9139 Å, b = 11.9139 Å, c = 11.9139 Å
α = 19.33°, β = 19.33°, γ = 19.33°
Atoms (fractional coordinates):
Tl1 0.0901 0.0901 0.0901
Tl2 0.9099 0.9099 0.9099
Cd1 0.3608 0.3608 0.3608
Cd2 0.6392 0.6392 0.6392
S1 0.2059 0.2059 0.2059
S2 0.7941 0.7941 0.7941



Record 8
Entry from OQMD: a geometry-optimized YTlCdS3 structure (PBE).

Polymorph energy (0 for the lowest one) (eV per formula unit): 0.03
Size of the total moment (μB per formula unit): 0.0

a = 8.0186 Å, b = 4.1129 Å, c = 10.4011 Å
α = 90.00°, β = 107.64°, γ = 90.00°
Atoms (fractional coordinates):
Y1 0.1923 0.2500 0.1298
Y2 0.8077 0.7500 0.8702
Tl1 0.2289 0.7500 0.7312
Tl2 0.7711 0.2500 0.2688
Cd1 0.4305 0.7500 0.3834
Cd2 0.5695 0.2500 0.6166
S1 0.0382 0.2500 0.8618
S2 0.2610 0.2500 0.4264
S3 0.4264 0.7500 0.1410
S4 0.5736 0.2500 0.8590
S5 0.7390 0.7500 0.5736
S6 0.9618 0.7500 0.1382



Record 9
Entry from OQMD: a geometry-optimized YTlCdS3 structure (PBE).

Polymorph energy (0 for the lowest one) (eV per formula unit): 0.14
Size of the total moment (μB per formula unit): 0.0

a = 12.0927 Å, b = 4.1026 Å, c = 12.2678 Å
α = 90.00°, β = 90.00°, γ = 90.00°
Atoms (fractional coordinates):
Y1 0.0327 0.2500 0.1596
Y2 0.4673 0.7500 0.6596
Y3 0.5327 0.2500 0.3404
Y4 0.9673 0.7500 0.8404
Tl1 0.1464 0.2500 0.5169
Tl2 0.3536 0.7500 0.0169
Tl3 0.6464 0.2500 0.9831
Tl4 0.8536 0.7500 0.4831
Cd1 0.2490 0.7500 0.3037
Cd2 0.2510 0.2500 0.8037
Cd3 0.7490 0.7500 0.1963
Cd4 0.7510 0.2500 0.6963
S1 0.0372 0.7500 0.3151
S2 0.0917 0.2500 0.9358
S3 0.2409 0.7500 0.6759
S4 0.2591 0.2500 0.1759
S5 0.4083 0.7500 0.4358
S6 0.4628 0.2500 0.8151
S7 0.5372 0.7500 0.1849
S8 0.5917 0.2500 0.5642
S9 0.7409 0.7500 0.8241
S10 0.7591 0.2500 0.3241
S11 0.9083 0.7500 0.0642
S12 0.9628 0.2500 0.6849



Record 10
Entry from OQMD: a geometry-optimized YTlCdS3 structure (PBE).

Polymorph energy (0 for the lowest one) (eV per formula unit): 0.01
Size of the total moment (μB per formula unit): 0.0

a = 10.7843 Å, b = 4.1063 Å, c = 14.1479 Å
α = 90.00°, β = 90.00°, γ = 90.00°
Atoms (fractional coordinates):
Y1 0.0034 0.2500 0.2476
Y2 0.4966 0.7500 0.7476
Y3 0.5034 0.2500 0.2524
Y4 0.9966 0.7500 0.7524
Tl1 0.2422 0.7500 0.4838
Tl2 0.2578 0.2500 0.9838
Tl3 0.7422 0.7500 0.0162
Tl4 0.7578 0.2500 0.5162
Cd1 0.2467 0.2500 0.6979
Cd2 0.2533 0.7500 0.1979
Cd3 0.7467 0.2500 0.8021
Cd4 0.7533 0.7500 0.3021
S1 0.0382 0.2500 0.6234
S2 0.0474 0.7500 0.1201
S3 0.2471 0.7500 0.8119
S4 0.2529 0.2500 0.3119
S5 0.4526 0.2500 0.6201
S6 0.4618 0.7500 0.1234
S7 0.5382 0.2500 0.8766
S8 0.5474 0.7500 0.3799
S9 0.7471 0.7500 0.6881
S10 0.7529 0.2500 0.1881
S11 0.9526 0.2500 0.8799
S12 0.9618 0.7500 0.3766



Record 11
Entry from OQMD: a geometry-optimized YTlCdS3 structure (PBE).

Polymorph energy (0 for the lowest one) (eV per formula unit): 0.42
Size of the total moment (μB per formula unit): 0.0

a = 7.8713 Å, b = 4.3655 Å, c = 16.4132 Å
α = 90.00°, β = 90.00°, γ = 90.00°
Atoms (fractional coordinates):
Y1 0.2365 0.2500 0.0378
Y2 0.2635 0.7500 0.5378
Y3 0.7365 0.2500 0.4622
Y4 0.7635 0.7500 0.9622
Tl1 0.0491 0.2500 0.8040
Tl2 0.4509 0.7500 0.3040
Tl3 0.5491 0.2500 0.6960
Tl4 0.9509 0.7500 0.1960
Cd1 0.1018 0.2500 0.3461
Cd2 0.3982 0.7500 0.8461
Cd3 0.6018 0.2500 0.1539
Cd4 0.8982 0.7500 0.6539
S1 0.0015 0.2500 0.5799
S2 0.1256 0.7500 0.9503
S3 0.2370 0.2500 0.2042
S4 0.2630 0.7500 0.7042
S5 0.3744 0.2500 0.4503
S6 0.4985 0.7500 0.0799
S7 0.5015 0.2500 0.9201
S8 0.6256 0.7500 0.5497
S9 0.7370 0.2500 0.2958
S10 0.7630 0.7500 0.7958
S11 0.8744 0.2500 0.0497
S12 0.9985 0.7500 0.4201



Record 12
Entry from OQMD: a geometry-optimized YTlCdS3 structure (PBE).

Polymorph energy (0 for the lowest one) (eV per formula unit): 0.00
Size of the total moment (μB per formula unit): 0.0

a = 14.2950 Å, b = 4.1127 Å, c = 11.0362 Å
α = 90.00°, β = 90.00°, γ = 90.00°
Atoms (fractional coordinates):
Y1 0.0269 0.2500 0.1507
Y2 0.4731 0.7500 0.6507
Y3 0.5269 0.2500 0.3493
Y4 0.9731 0.7500 0.8493
Tl1 0.2494 0.2500 0.4532
Tl2 0.2506 0.7500 0.9532
Tl3 0.7494 0.2500 0.0468
Tl4 0.7506 0.7500 0.5468
Cd1 0.0255 0.7500 0.3982
Cd2 0.4745 0.2500 0.8982
Cd3 0.5255 0.7500 0.1018
Cd4 0.9745 0.2500 0.6018
S1 0.0821 0.7500 0.6262
S2 0.0918 0.2500 0.9221
S3 0.1424 0.7500 0.2279
S4 0.3576 0.2500 0.7279
S5 0.4082 0.7500 0.4221
S6 0.4179 0.2500 0.1262
S7 0.5821 0.7500 0.8738
S8 0.5918 0.2500 0.5779
S9 0.6424 0.7500 0.2721
S10 0.8576 0.2500 0.7721
S11 0.9082 0.7500 0.0779
S12 0.9179 0.2500 0.3738



Values of calculated total energy, in order: -104.62, -45.42, -43.66, -48.28, -11.09, -11.14, -14.56, -57.66, -114.87, -115.38, -113.74, -115.42, all in eV/cell.